<a>
# TeRuPt PBE relaxed
data_TeRuPt
_cell_length_a 3.1055
_cell_length_b 3.6388
_cell_length_c 9.3415
_cell_angle_alpha 90.00
_cell_angle_beta 90.00
_cell_angle_gamma 90.00
_symmetry_space_group_name_H-M 'I m m 2'
_symmetry_Int_Tables_number 44
_symmetry_space_group_name_Hall 'I 2 -2'
loop_
_atom_site_label
_atom_site_type_symbol
_atom_site_fract_x
_atom_site_fract_y
_atom_site_fract_z
Te1 Te 0.0000 0.0000 0.0000
Ru1 Ru 0.0000 0.0000 0.3640
Pt1 Pt 0.0000 0.0000 0.6864
# Calculated volume = 105.6 Å³ per cell

=====

<b>
# TeRuPt PBE relaxed
data_TeRuPt
_cell_length_a 6.1938
_cell_length_b 6.1938
_cell_length_c 6.1938
_cell_angle_alpha 90.00
_cell_angle_beta 90.00
_cell_angle_gamma 90.00
_symmetry_space_group_name_H-M 'F -4 3 m'
_symmetry_Int_Tables_number 216
_symmetry_space_group_name_Hall 'F -4 2 3'
loop_
_atom_site_label
_atom_site_type_symbol
_atom_site_fract_x
_atom_site_fract_y
_atom_site_fract_z
Te1 Te 0.0000 0.0000 0.0000
Ru1 Ru 0.2500 0.2500 0.7500
Pt1 Pt 0.0000 0.0000 0.5000
# Calculated volume = 237.6 Å³ per cell

=====

Referenced to the most stable arrangement, the calculated values in eV/atom are <a> 0.188; <b> 0.000.